Below is a relaxed structure of In2NiBiTe, with properties calculated at the PBE level.

a = 5.0232 Å, b = 5.0232 Å, c = 5.2922 Å
α = 90.00°, β = 90.00°, γ = 90.00°
Last column: nearest neighbours and their distance in Å.
Space group P4/mmm (No. 123)
One atom of each set of equivalent atoms:
1 In 0.0000 0.5000 0.0000 [2 per cell]  2 Ni 2.51
2 Ni 0.0000 0.0000 0.0000 [1 per cell]  4 In 2.51, 2 Bi 2.65
3 Bi 0.0000 0.0000 0.5000 [1 per cell]  2 Ni 2.65
4 Te 0.5000 0.5000 0.5000 [1 per cell]  4 Bi 3.55, 8 In 3.65

Properties
- ΔE_f (raw) (meV/atom) = -53.1

***

Below is a relaxed structure of TiIn2NiBi, with properties calculated at the PBE level.

a = 4.9319 Å, b = 4.9319 Å, c = 4.7720 Å
α = 90.00°, β = 90.00°, γ = 90.00°
Last column: nearest neighbours and their distance in Å.
Space group P4/mmm (No. 123)
One atom of each set of equivalent atoms:
1 Ti 0.0000 0.0000 0.0000 [1 per cell]  2 Ni 2.39
2 In 0.0000 0.5000 0.5000 [2 per cell]  2 Ni 2.47
3 Ni 0.0000 0.0000 0.5000 [1 per cell]  2 Ti 2.39, 4 In 2.47
4 Bi 0.5000 0.5000 0.0000 [1 per cell]  8 In 3.43, 4 Ti 3.49

Properties
- calculated formation energy (kJ/mol of formula units) = 57

***

Below is a relaxed structure of TlInNiBi2, with properties calculated at the PBE level.

a = 5.3247 Å, b = 5.3247 Å, c = 4.9881 Å
α = 90.00°, β = 90.00°, γ = 90.00°
Last column: nearest neighbours and their distance in Å.
Space group P4/mmm (No. 123)
One atom of each set of equivalent atoms:
1 Tl 0.0000 0.0000 0.0000 [1 per cell]  8 Bi 3.65, 4 In 3.77
2 In 0.5000 0.5000 0.0000 [1 per cell]  2 Ni 2.49
3 Ni 0.5000 0.5000 0.5000 [1 per cell]  2 In 2.49, 4 Bi 2.66
4 Bi 0.0000 0.5000 0.5000 [2 per cell]  2 Ni 2.66

Properties
- calculated formation energy (kJ/mol of formula units) = 55